Model w:
TbMgB4, optimized geometry, DFT PBE; spin magnetization = 0.005 μB/f.u.
1.0
3.189 0.000 0.000
-1.594 2.761 0.000
0.000 0.000 7.383
Tb B Mg
1 4 1
direct
0.000 0.000 0.000
0.333 0.667 0.735
0.333 0.667 0.265
0.667 0.333 0.735
0.667 0.333 0.265
0.000 0.000 0.500

Model x:
TbMgB4, optimized geometry, DFT PBE; spin magnetization = 0.001 μB/f.u.
1.0
2.729 -0.157 4.148
-3.227 1.813 3.313
0.787 -3.864 -3.021
B Tb Mg
4 1 1
direct
0.425 0.754 0.671
0.917 0.246 0.671
0.083 0.754 0.329
0.575 0.246 0.329
0.500 0.500 0.000
0.000 0.000 0.000

Stability ranking, top and bottom: model x is the most stable and model w is the least stable.

Model w:
MgTc2B2, optimized geometry, DFT PBE; spin magnetization = 0.007 μB/f.u.
1.0
5.902 0.000 0.000
0.000 5.902 0.000
0.000 0.000 3.083
B Tc Mg
4 4 2
direct
0.888 0.388 0.000
0.112 0.612 0.000
0.388 0.112 0.000
0.612 0.888 0.000
0.829 0.671 0.500
0.671 0.171 0.500
0.171 0.329 0.500
0.329 0.829 0.500
0.500 0.500 0.000
0.000 0.000 0.000

Model x:
MgTc2B2, optimized geometry, DFT PBE; spin magnetization = 0.052 μB/f.u.
1.0
2.560 -2.560 0.000
2.560 2.560 0.000
-2.560 0.000 4.653
Mg B Tc
1 2 2
direct
0.000 0.000 0.000
0.405 0.405 0.811
0.595 0.595 0.189
0.750 0.250 0.500
0.250 0.750 0.500

Model y:
MgTc2B2, optimized geometry, DFT PBE; spin magnetization = 0.009 μB/f.u.
1.0
1.518 -6.008 0.000
1.518 6.008 0.000
0.000 0.000 3.100
Tc B Mg
2 2 1
direct
0.651 0.349 0.500
0.349 0.651 0.500
0.207 0.793 0.000
0.793 0.207 0.000
0.000 0.000 0.000

Stability ranking, top and bottom: model y is the most stable and model x is the least stable.